(1)
A geometry-optimized Dy3IrRh8 structure, computed with PBE-GGA. Values from VASP.

Geometry as Quantum ESPRESSO input:
```
&SYSTEM
  ibrav = 0, nat = 12, ntyp = 3
/
ATOMIC_SPECIES
Rh 102.91 Rh.upf
Ir 192.22 Ir.upf
Dy 162.50 Dy.upf
CELL_PARAMETERS angstrom
-1.328 2.538 4.430
2.483 -1.109 4.520
6.270 6.584 1.248
ATOMIC_POSITIONS angstrom
Rh 0.786 0.892 2.865
Rh 2.087 2.204 0.925
Rh 1.420 3.480 3.151
Rh 3.335 1.647 3.197
Rh 4.520 4.920 7.958
Rh 5.759 6.168 6.044
Rh 4.517 6.722 3.784
Rh 6.422 4.899 3.829
Ir 3.804 4.024 1.975
Dy 1.535 1.747 5.741
Dy 3.856 4.155 5.057
Dy 6.057 6.363 1.311
```

## Properties
- E_tot (eV per cell) = -87.13
- formation energy (eV per atom) = -0.471

(2)
A geometry-optimized Dy3IrRh2 structure, computed with PBE-GGA. Values from VASP.

Geometry as Quantum ESPRESSO input:
```
&SYSTEM
  ibrav = 0, nat = 12, ntyp = 3
/
ATOMIC_SPECIES
Dy 162.50 Dy.upf
Rh 102.91 Rh.upf
Ir 192.22 Ir.upf
CELL_PARAMETERS angstrom
-1.752 3.204 3.188
-1.354 -4.648 0.242
9.077 -2.267 7.268
ATOMIC_POSITIONS angstrom
Dy -0.853 0.395 2.819
Dy 2.278 -0.569 1.824
Dy 6.798 -1.698 5.444
Dy 6.824 -4.107 7.878
Dy 3.675 -0.736 6.445
Dy 2.296 -2.975 4.253
Rh 5.964 -1.307 8.278
Rh 0.006 -2.404 2.420
Rh 0.000 0.000 0.000
Rh 4.538 -1.134 3.634
Ir 1.408 -0.170 4.630
Ir 4.562 -3.542 6.067
```

## Properties
- E_tot (eV per cell) = -85.24
- formation energy (eV per atom) = -0.875

(3)
A geometry-optimized Dy6IrRh3 structure, computed with PBE-GGA. Values from VASP.

Geometry as Quantum ESPRESSO input:
```
&SYSTEM
  ibrav = 0, nat = 20, ntyp = 3
/
ATOMIC_SPECIES
Rh 102.91 Rh.upf
Dy 162.50 Dy.upf
Ir 192.22 Ir.upf
CELL_PARAMETERS angstrom
-2.706 -1.296 -3.675
-4.677 -4.520 5.038
-7.108 9.468 1.895
ATOMIC_POSITIONS angstrom
Rh -9.976 1.853 3.630
Rh -10.225 5.109 -0.398
Rh -3.554 4.734 0.947
Rh -4.266 -1.457 3.655
Rh -4.515 1.799 -0.372
Rh -3.692 -2.908 0.681
Dy -9.182 -3.405 1.837
Dy -9.057 4.224 2.117
Dy -2.111 -0.723 1.809
Dy -6.281 4.075 0.125
Dy -12.380 4.375 1.448
Dy -4.508 2.369 2.484
Dy -5.902 -3.600 2.553
Dy -8.210 -0.423 3.133
Dy -5.309 7.057 1.421
Dy -8.589 7.252 0.705
Dy -9.983 1.283 0.773
Dy -5.434 -0.572 1.141
Ir -7.246 1.826 1.629
Ir 0.000 0.000 0.000
```

## Properties
- E_tot (eV per cell) = -130.49
- formation energy (eV per atom) = -0.672

(4)
A geometry-optimized DyIrRh4 structure, computed with PBE-GGA. Values from VASP.

Geometry as Quantum ESPRESSO input:
```
&SYSTEM
  ibrav = 0, nat = 12, ntyp = 3
/
ATOMIC_SPECIES
Rh 102.91 Rh.upf
Dy 162.50 Dy.upf
Ir 192.22 Ir.upf
CELL_PARAMETERS angstrom
3.942 0.000 0.000
0.000 6.615 0.000
0.000 0.000 7.868
ATOMIC_POSITIONS angstrom
Rh 1.971 2.030 4.304
Rh 0.000 0.000 0.000
Rh 1.971 4.585 3.564
Rh 1.971 4.585 0.370
Rh 1.971 6.390 5.901
Rh 1.971 0.224 1.967
Rh 1.971 2.030 7.498
Rh 0.000 0.000 3.934
Dy 0.000 2.323 1.967
Dy 0.000 4.292 5.901
Ir 0.000 5.036 1.967
Ir 0.000 1.579 5.901
```

## Properties
- E_tot (eV per cell) = -87.82
- formation energy (eV per atom) = -0.174

(5)
A geometry-optimized Dy8IrRh2 structure, computed with PBE-GGA. Values from VASP.

Geometry as Quantum ESPRESSO input:
```
&SYSTEM
  ibrav = 0, nat = 11, ntyp = 3
/
ATOMIC_SPECIES
Dy 162.50 Dy.upf
Rh 102.91 Rh.upf
Ir 192.22 Ir.upf
CELL_PARAMETERS angstrom
-1.040 1.457 5.765
-6.884 -2.127 -2.180
4.816 -5.724 0.840
ATOMIC_POSITIONS angstrom
Dy -0.528 -6.147 1.517
Dy 0.469 -1.306 3.447
Dy -5.458 -1.444 4.146
Dy -0.912 -2.562 0.483
Dy -3.548 -5.218 0.737
Dy -2.563 -0.373 2.664
Dy -2.174 -3.892 3.788
Dy 1.336 -3.532 5.899
Rh 0.658 -3.946 2.694
Rh -3.763 -2.587 1.553
Ir -0.166 0.231 0.916
```

## Properties
- E_tot (eV per cell) = -65.42
- formation energy (eV per atom) = -0.458

(6)
A geometry-optimized Dy6Ir5Rh structure, computed with PBE-GGA. Values from VASP.

Geometry as Quantum ESPRESSO input:
```
&SYSTEM
  ibrav = 0, nat = 12, ntyp = 3
/
ATOMIC_SPECIES
Dy 162.50 Dy.upf
Ir 192.22 Ir.upf
Rh 102.91 Rh.upf
CELL_PARAMETERS angstrom
-2.409 2.513 -3.237
-5.850 -3.824 1.386
2.259 5.340 5.953
ATOMIC_POSITIONS angstrom
Dy -5.587 -1.608 -0.580
Dy -0.990 5.329 1.382
Dy -2.672 0.297 -1.271
Dy -5.010 -1.300 2.720
Dy -3.910 3.420 2.074
Dy -2.090 0.609 2.028
Ir -1.827 2.814 0.053
Ir -1.247 3.123 3.351
Ir -2.925 -1.912 0.693
Ir -4.753 0.906 0.750
Ir -4.173 1.215 4.049
Rh 0.000 0.000 0.000
```

## Properties
- E_tot (eV per cell) = -89.28
- formation energy (eV per atom) = -0.834

(7)
A geometry-optimized Dy3Ir5Rh12 structure, computed with PBE-GGA. Values from VASP.

Geometry as Quantum ESPRESSO input:
```
&SYSTEM
  ibrav = 0, nat = 80, ntyp = 3
/
ATOMIC_SPECIES
Ir 192.22 Ir.upf
Rh 102.91 Rh.upf
Dy 162.50 Dy.upf
CELL_PARAMETERS angstrom
-1.221 -12.382 -3.392
4.551 6.765 -9.992
8.184 0.952 9.921
ATOMIC_POSITIONS angstrom
Ir 6.516 0.037 1.606
Ir 6.814 -7.607 4.888
Ir 3.481 -5.715 3.264
Ir 6.367 3.859 -0.035
Ir 4.997 -4.701 -5.068
Ir 2.275 3.383 -4.996
Ir -0.611 -6.191 -1.696
Ir 7.914 -5.892 -1.772
Ir 1.703 -2.833 -2.530
Ir 5.757 -2.332 -1.731
Ir 4.700 2.943 -8.350
Ir 5.265 -1.581 -8.382
Ir 1.665 -2.808 -6.692
Ir 9.811 -1.831 -0.933
Ir 6.249 -3.083 4.920
Ir 3.600 1.227 -1.691
Ir 0.000 0.000 0.000
Ir 5.184 -8.548 0.735
Ir 4.092 0.476 4.960
Ir 6.329 3.883 -4.197
Rh 3.128 -0.954 -7.408
Rh 4.328 0.589 2.506
Rh 7.906 -0.637 8.053
Rh 8.018 -6.544 3.064
Rh 5.119 5.321 -8.073
Rh 4.824 -3.656 3.037
Rh 11.369 3.311 -0.238
Rh 9.066 -4.902 -3.670
Rh 2.448 -4.552 1.348
Rh 2.350 1.239 -3.775
Rh 2.197 -1.635 -4.586
Rh 3.495 1.880 -6.527
Rh 7.186 -5.253 -5.969
Rh 6.509 1.549 -4.850
Rh 6.089 -0.781 5.683
Rh 7.636 3.777 -2.151
Rh 10.121 0.567 -0.691
Rh 4.107 -6.285 -3.454
Rh 2.448 0.238 0.207
Rh 3.878 -8.441 -1.312
Rh 4.403 -10.152 2.385
Rh 1.265 -7.244 -0.485
Rh 9.317 -3.029 1.123
Rh 5.560 0.017 -2.464
Rh 0.145 -7.976 -3.225
Rh 8.694 4.302 0.660
Rh 10.249 2.579 -2.977
Rh 3.168 -4.765 -6.668
Rh 8.014 -1.789 -2.569
Rh 5.953 -4.681 -0.999
Rh 1.393 -5.231 -2.772
Rh 6.394 -9.985 4.610
Rh 5.004 -6.214 1.387
Rh 5.528 -2.501 -4.183
Rh 2.820 -8.966 -4.122
Rh 8.345 0.101 3.205
Rh 9.065 -0.112 -4.811
Rh 3.499 -2.875 -0.894
Rh 8.673 2.998 3.870
Rh 3.607 -4.027 -11.516
Rh 2.841 -7.662 -7.333
Rh 9.163 -5.903 0.313
Rh 6.690 -1.008 -6.499
Rh 7.110 5.488 -5.848
Rh 5.986 -2.164 0.720
Rh 8.385 -3.710 3.945
Rh 7.407 1.620 -0.009
Rh 5.424 -3.883 -9.145
Dy 1.814 -6.630 -5.051
Dy 3.443 -5.690 -0.897
Dy 8.181 -2.772 -5.086
Dy 4.432 -0.177 -5.036
Dy 7.081 -4.487 1.574
Dy 1.546 -9.751 -1.737
Dy 9.967 5.086 -1.726
Dy 3.367 -5.641 -9.221
Dy 9.700 1.966 1.588
Dy 8.070 1.026 -2.565
Dy 3.333 -1.893 1.623
Dy 8.146 0.977 5.759
```

## Properties
- E_tot (eV per cell) = -540.72
- formation energy (eV per atom) = 0.557

(8)
A geometry-optimized Dy3IrRh2 structure, computed with PBE-GGA. Values from VASP.

Geometry as Quantum ESPRESSO input:
```
&SYSTEM
  ibrav = 0, nat = 6, ntyp = 3
/
ATOMIC_SPECIES
Dy 162.50 Dy.upf
Rh 102.91 Rh.upf
Ir 192.22 Ir.upf
CELL_PARAMETERS angstrom
4.846 0.000 0.000
-2.423 4.197 0.000
0.000 0.000 5.930
ATOMIC_POSITIONS angstrom
Dy 0.000 0.000 2.965
Dy 0.000 2.798 0.976
Dy 2.423 1.399 4.955
Rh 2.423 1.399 2.005
Rh 0.000 2.798 3.925
Ir 0.000 0.000 0.000
```

## Properties
- E_tot (eV per cell) = -42.62
- formation energy (eV per atom) = -0.874

(9)
A geometry-optimized Dy3Ir2Rh structure, computed with PBE-GGA. Values from VASP.

Geometry as Quantum ESPRESSO input:
```
&SYSTEM
  ibrav = 0, nat = 6, ntyp = 3
/
ATOMIC_SPECIES
Dy 162.50 Dy.upf
Ir 192.22 Ir.upf
Rh 102.91 Rh.upf
CELL_PARAMETERS angstrom
3.431 0.000 0.000
0.000 3.431 0.000
0.000 0.000 10.271
ATOMIC_POSITIONS angstrom
Dy 0.000 0.000 3.408
Dy 0.000 0.000 0.000
Dy 0.000 0.000 6.863
Ir 1.716 1.716 8.545
Ir 1.716 1.716 1.726
Rh 1.716 1.716 5.136
```

## Properties
- energy relative to the lowest polymorph listed for this composition (meV/atom) = 8
- E_tot (eV per cell) = -43.89
- formation energy (eV per atom) = -0.835

(10)
A geometry-optimized DyIrRh2 structure, computed with PBE-GGA. Values from VASP.

Geometry as Quantum ESPRESSO input:
```
&SYSTEM
  ibrav = 0, nat = 4, ntyp = 3
/
ATOMIC_SPECIES
Rh 102.91 Rh.upf
Ir 192.22 Ir.upf
Dy 162.50 Dy.upf
CELL_PARAMETERS angstrom
-3.152 -2.034 1.365
2.418 -2.003 2.598
-0.639 2.878 2.814
ATOMIC_POSITIONS angstrom
Rh 1.209 -1.002 1.299
Rh -0.319 1.439 1.407
Ir -1.576 -1.017 0.682
Dy -0.687 -0.580 3.389
```

## Properties
- E_tot (eV per cell) = -30.08
- formation energy (eV per atom) = -0.479

(11)
A geometry-optimized Dy4Ir3Rh structure, computed with PBE-GGA. Values from VASP.

Geometry as Quantum ESPRESSO input:
```
&SYSTEM
  ibrav = 0, nat = 16, ntyp = 3
/
ATOMIC_SPECIES
Ir 192.22 Ir.upf
Dy 162.50 Dy.upf
Rh 102.91 Rh.upf
CELL_PARAMETERS angstrom
-4.168 -1.817 -1.374
3.056 -6.381 -0.832
-2.038 -2.153 9.025
ATOMIC_POSITIONS angstrom
Ir -1.066 -4.637 1.153
Ir -1.019 -1.076 4.513
Ir -3.611 -2.523 6.082
Ir -2.594 -1.447 1.569
Ir 0.000 0.000 0.000
Ir -2.084 -5.713 5.666
Dy -2.339 -3.580 3.617
Dy 0.208 -5.694 -1.311
Dy 0.254 -2.133 2.048
Dy 1.783 -5.324 1.632
Dy -3.403 -8.217 4.771
Dy -0.810 -6.771 3.201
Dy -1.320 -2.503 -0.895
Dy -4.932 -5.026 5.187
Rh 0.509 -4.267 4.097
Rh 1.528 -3.190 -0.416
```

## Properties
- E_tot (eV per cell) = -118.15
- formation energy (eV per atom) = -0.841

(12)
A geometry-optimized Dy5Ir4Rh structure, computed with PBE-GGA. Values from VASP.

Geometry as Quantum ESPRESSO input:
```
&SYSTEM
  ibrav = 0, nat = 10, ntyp = 3
/
ATOMIC_SPECIES
Rh 102.91 Rh.upf
Ir 192.22 Ir.upf
Dy 162.50 Dy.upf
CELL_PARAMETERS angstrom
3.362 0.000 0.000
0.000 3.362 0.000
0.000 0.000 17.790
ATOMIC_POSITIONS angstrom
Rh 0.000 0.000 0.000
Ir 0.000 0.000 3.538
Ir 0.000 0.000 14.252
Ir 0.000 0.000 7.113
Ir 0.000 0.000 10.677
Dy 1.681 1.681 5.332
Dy 1.681 1.681 16.005
Dy 1.681 1.681 8.895
Dy 1.681 1.681 1.786
Dy 1.681 1.681 12.459
```

## Properties
- E_tot (eV per cell) = -74.02
- formation energy (eV per atom) = -0.821